Compound: GdMoBrO4
Source: Alexandria
Functional: PBE+U
Structure: optimized geometry

a b c (Å): 7.108 7.428 11.075
angles (deg): 103.59 107.71 94.76
Space group P-1 (No. 2)
Symmetry-distinct sites (fractional):
Gd 0.123 0.339 0.231 (multiplicity 2)
Gd 0.164 0.100 0.728 (multiplicity 2)
Mo 0.227 0.819 0.135 (multiplicity 2)
Mo 0.271 0.583 0.628 (multiplicity 2)
Br 0.236 0.990 0.479 (multiplicity 2)
Br 0.305 0.279 0.013 (multiplicity 2)
O 0.098 0.012 0.188 (multiplicity 2)
O 0.149 0.634 0.197 (multiplicity 2)
O 0.155 0.775 0.701 (multiplicity 2)
O 0.156 0.741 0.960 (multiplicity 2)
O 0.173 0.503 0.451 (multiplicity 2)
O 0.222 0.394 0.695 (multiplicity 2)
O 0.466 0.350 0.326 (multiplicity 2)
O 0.492 0.887 0.204 (multiplicity 2)

Calculated values
* DOS(E_F): 0.0 states/eV/cell
* final energy: -231.722 eV per cell